Model w:
A plane-wave DFT calculation with GGA-PBE was carried out for LiMn2Ir after structural relaxation.

## Properties
total moment: 1.013 μB per atom
calculated volume: 49.5 Å³/cell
space group: F-43m (216)

Structure (extended XYZ):
```
4
Lattice="0.000 2.914 2.914 2.914 0.000 2.914 2.914 2.914 0.000" Properties=species:S:1:pos:R:3 pbc="T T T"
Li 0.000 0.000 0.000
Mn 1.457 1.457 1.457
Mn 2.914 2.914 2.914
Ir 4.370 4.370 4.370
```

---

Model x:
A plane-wave DFT calculation with GGA-PBE was carried out for LiMn2Ir after structural relaxation.

## Properties
total moment: 1.472 μB per atom
calculated volume: 57.1 Å³/cell
space group: R-3m (166)

Structure (extended XYZ):
```
4
Lattice="1.361 0.786 8.895 -1.361 0.786 8.895 0.000 -1.572 8.895" Properties=species:S:1:pos:R:3 pbc="T T T"
Li 0.000 0.000 0.000
Mn 0.000 0.000 6.580
Mn 0.000 0.000 20.105
Ir 0.000 0.000 13.343
```

---

Model y:
A plane-wave DFT calculation with GGA-PBE was carried out for LiMn2Ir after structural relaxation.

## Properties
total moment: 1.539 μB per atom
calculated volume: 53.6 Å³/cell
space group: Imm2 (44)

Structure (extended XYZ):
```
4
Lattice="-1.429 2.163 4.337 1.429 -2.163 4.337 1.429 2.163 -4.337" Properties=species:S:1:pos:R:3 pbc="T T T"
Li 0.000 0.000 0.000
Mn 1.429 0.000 2.243
Mn 0.000 0.000 4.397
Ir 0.000 2.163 2.140
```

---

Model z:
A plane-wave DFT calculation with GGA-PBE was carried out for LiMn2Ir after structural relaxation.

## Properties
total moment: 0.304 μB per atom
calculated volume: 53.8 Å³/cell
space group: Cmm2 (35)

Structure (extended XYZ):
```
4
Lattice="1.407 -2.220 0.000 1.407 2.220 0.000 0.000 0.000 8.620" Properties=species:S:1:pos:R:3 pbc="T T T"
Li 0.000 0.000 0.000
Mn 0.000 0.000 4.365
Mn 1.407 0.000 6.294
Ir 1.407 0.000 2.204
```

---

Q: Which of them is the most stable? A: model w.

---

Model w:
A plane-wave DFT calculation with GGA-PBE was carried out for LiMn2Ir after structural relaxation.

## Properties
total moment: 0.195 μB per atom
calculated volume: 47.1 Å³/cell
space group: Pmmm (47)

Structure (extended XYZ):
```
4
Lattice="2.601 0.000 0.000 0.000 3.855 0.000 0.000 0.000 4.701" Properties=species:S:1:pos:R:3 pbc="T T T"
Li 0.000 0.000 0.000
Mn 1.300 1.927 1.042
Mn 1.300 1.927 3.658
Ir 0.000 0.000 2.350
```

---

Model x:
A plane-wave DFT calculation with GGA-PBE was carried out for LiMn2Ir after structural relaxation.

## Properties
total moment: 0.001 μB per atom
calculated volume: 45.7 Å³/cell
space group: Immm (71)

Structure (extended XYZ):
```
4
Lattice="-1.421 1.946 4.131 1.421 -1.946 4.131 1.421 1.946 -4.131" Properties=species:S:1:pos:R:3 pbc="T T T"
Li 0.000 0.000 0.000
Mn 1.421 0.000 2.038
Mn 0.000 1.946 2.093
Ir 0.000 0.000 4.131
```

---

Model y:
A plane-wave DFT calculation with GGA-PBE was carried out for LiMn2Ir after structural relaxation.

## Properties
total moment: 1.748 μB per atom
calculated volume: 55.1 Å³/cell
space group: P4/mmm (123)

Structure (extended XYZ):
```
4
Lattice="4.387 0.000 0.000 0.000 4.387 0.000 0.000 0.000 2.861" Properties=species:S:1:pos:R:3 pbc="T T T"
Li 0.000 0.000 0.000
Mn 0.000 2.194 1.430
Mn 2.194 0.000 1.430
Ir 2.194 2.194 0.000
```

---

Model z:
A plane-wave DFT calculation with GGA-PBE was carried out for LiMn2Ir after structural relaxation.

## Properties
total moment: 1.829 μB per atom
calculated volume: 59.1 Å³/cell
space group: Cmmm (65)

Structure (extended XYZ):
```
4
Lattice="1.443 -2.289 0.000 1.443 2.289 0.000 0.000 0.000 8.942" Properties=species:S:1:pos:R:3 pbc="T T T"
Li 0.000 0.000 0.000
Mn 1.443 0.000 2.331
Mn 1.443 0.000 6.611
Ir 0.000 0.000 4.471
```

---

Q: Which of them is the most stable? A: model y.

---

Model w:
A plane-wave DFT calculation with GGA-PBE was carried out for LiMn2Ir after structural relaxation.

## Properties
total moment: 0.037 μB per atom
calculated volume: 52.5 Å³/cell
space group: Pmm2 (25)

Structure (extended XYZ):
```
4
Lattice="2.759 0.000 0.000 0.000 3.601 0.000 0.000 0.000 5.280" Properties=species:S:1:pos:R:3 pbc="T T T"
Li 0.000 0.000 0.000
Mn 0.000 0.000 2.675
Mn 1.380 1.801 1.325
Ir 1.380 1.801 4.037
```

---

Model x:
A plane-wave DFT calculation with GGA-PBE was carried out for LiMn2Ir after structural relaxation.

## Properties
total moment: 1.865 μB per atom
calculated volume: 117.9 Å³/cell
space group: I-42d (122)

Structure (extended XYZ):
```
8
Lattice="-3.385 3.385 2.572 3.385 -3.385 2.572 3.385 3.385 -2.572" Properties=species:S:1:pos:R:3 pbc="T T T"
Li 0.000 0.000 0.000
Li 0.000 3.385 1.286
Mn 5.078 1.682 -0.643
Mn 1.682 1.693 0.643
Mn -1.693 1.703 1.929
Mn 1.703 1.693 3.214
Ir 3.385 0.000 1.286
Ir 0.000 0.000 2.572
```

---

Q: Which of them is the most stable? A: model w.